Re2SiPt | Alexandria via LeMat-Bulk | GGA-PBEsol | optimized geometry; formation energy (no corrections) = 0.2874 eV/atom; volume = 57.4 Å³/cell; electronic total energy = -38.22 eV/cell
1.0
-3.139 -2.490 -1.642
-0.372 -4.126 1.260
-3.328 -1.212 2.491
Re Pt Si
2 1 1
direct
0.250 0.250 0.250
0.000 0.000 0.000
0.500 0.500 0.500
0.750 0.750 0.750

---

InOsBr2 | Alexandria via LeMat-Bulk | GGA-PBEsol | optimized geometry; formation energy (no corrections) = 1.0535 eV/atom; volume = 78.8 Å³/cell; electronic total energy = -14.72 eV/cell
1.0
4.323 0.000 0.000
0.000 4.323 0.000
-2.162 -2.162 4.214
In Os Br
1 1 2
direct
0.500 0.500 0.000
0.250 0.750 0.500
0.750 0.250 0.500
0.000 0.000 0.000

---

LiAs2Au | Alexandria via LeMat-Bulk | GGA-PBEsol | optimized geometry; volume = 70.6 Å³/cell; electronic total energy = -16.96 eV/cell
1.0
2.917 0.000 0.032
0.000 4.152 0.000
-0.061 0.000 5.833
Au Li As
1 1 2
direct
0.500 0.500 0.000
0.000 0.500 0.500
0.500 0.000 0.271
0.500 0.000 0.729

---

FeCoRh | Alexandria via LeMat-Bulk | GGA-PBEsol | optimized geometry; volume = 36.1 Å³/cell; electronic total energy = -24.63 eV/cell
1.0
2.862 0.000 0.000
0.000 2.862 0.000
-1.431 -1.431 4.408
Co Rh Fe
1 1 1
direct
0.988 0.988 0.975
0.669 0.669 0.339
0.343 0.343 0.686

---

Zr2ReIr | Alexandria via LeMat-Bulk | GGA-PBEsol | optimized geometry; volume = 71.2 Å³/cell; electronic total energy = -41.78 eV/cell
1.0
3.127 0.000 0.000
1.564 2.708 0.000
1.564 0.903 8.403
Re Ir Zr
1 1 2
direct
0.000 0.000 0.000
0.500 0.500 0.500
0.251 0.251 0.247
0.749 0.749 0.753

---

K5Ti3F14 | Alexandria via LeMat-Bulk | GGA-PBEsol | optimized geometry; formation energy (no corrections) = -3.1562 eV/atom; volume = 703.9 Å³/cell; electronic total energy = -254.11 eV/cell
1.0
7.788 0.000 0.000
0.000 7.788 0.000
0.000 0.000 11.606
F Ti K
28 6 10
direct
0.751 0.045 0.000
0.500 0.500 0.670
0.000 0.000 0.170
0.320 0.029 0.615
0.500 0.500 0.330
0.529 0.820 0.115
0.820 0.471 0.115
0.045 0.249 0.000
0.680 0.971 0.385
0.971 0.320 0.385
0.545 0.251 0.500
0.955 0.751 0.000
0.680 0.971 0.615
0.971 0.320 0.615
0.251 0.455 0.500
0.029 0.680 0.385
0.471 0.180 0.885
0.749 0.545 0.500
0.180 0.529 0.885
0.000 0.000 0.830
0.320 0.029 0.385
0.455 0.749 0.500
0.529 0.820 0.885
0.249 0.955 0.000
0.029 0.680 0.615
0.471 0.180 0.115
0.180 0.529 0.115
0.820 0.471 0.885
0.000 0.500 0.500
0.000 0.000 0.000
0.500 0.000 0.500
0.500 0.500 0.500
0.000 0.500 0.000
0.500 0.000 0.000
0.228 0.272 0.750
0.772 0.728 0.750
0.272 0.772 0.250
0.500 0.500 0.000
0.772 0.728 0.250
0.228 0.272 0.250
0.728 0.228 0.250
0.728 0.228 0.750
0.000 0.000 0.500
0.272 0.772 0.750